The following is a meta-GGA SCAN calculation of TlCu7S4 at its PBEsol-relaxed geometry, from Alexandria via LeMat-Bulk.

Cell: 3.7453 7.2272 7.3271 Å, 85.97 75.35 75.49°
Closest atoms and distances in Å follow each position.
Element x y z (fractional)
Tl 0.0000 0.0000 0.0000  8 S 3.16-3.36, 2 Cu 3.51-3.54
Cu 0.0280 0.3220 0.6031  3 S 2.25-2.35
Cu 0.2724 0.4422 0.0797  3 S 2.23-2.47
Cu 0.2778 0.9179 0.4910  3 S 2.22-2.31
Cu 0.4142 0.5866 0.6322  2 S 2.25-2.37, 1 Cu 2.51
Cu 0.6704 0.3718 0.3297  3 S 2.27-2.31
Cu 0.8090 0.5782 0.8730  2 S 2.26-2.30, 1 Cu 2.51
Cu 0.9898 0.6517 0.3798  3 S 2.28-2.40
S 0.2609 0.1830 0.3184  5 Cu 2.22-2.47
S 0.4279 0.3106 0.7955  4 Cu 2.23-2.35
S 0.5697 0.6633 0.1786  5 Cu 2.26-2.40
S 0.7492 0.8198 0.6535  5 Cu 2.28-2.37

Computed properties:
Electronic total energy ... -18.31 eV per atom
Magnetization ... 0.00 μB/cell
Energy relative to the elements, uncorrected ... -0.21 eV per atom